The following is a PBE calculation of a geometry-optimized Li2SCl4 structure, from the Alexandria database.

Output
The density of states at the Fermi level is 0.00 states/eV per atom. As for the volume: 154.02 Å³/cell. For the uncorrected formation energy, the calculation gives -0.870 eV/atom. Its mass density is 2.02 Mg/m³. As for the space group: I-42m (121). The value obtained for the total energy is -21.43 eV/cell.

Cell: 6.6168 6.6168 5.8537 Å, 124.41 124.41 90.00°
With the nearest neighbours (Å) after each atom.
Positions (direct):
Li1 0.7500 0.2500 0.5000  8 Cl 2.91-2.95
Li2 0.2500 0.7500 0.5000  8 Cl 2.91-2.95
S1 0.5000 0.5000 0.0000  4 Cl 2.34
Cl1 0.7539 0.2547 0.0086  1 S 2.34
Cl2 0.2547 0.7539 0.0086  1 S 2.34
Cl3 0.7453 0.7453 0.9914  1 S 2.34
Cl4 0.2461 0.2461 0.9914  1 S 2.34